The following is a SCAN calculation of a crystal of YBe2Fe2 relaxed with PBEsol, from Alexandria.

Cell lengths 5.085, 5.085, 5.085 Å; angles 135.06, 135.06, 65.43 degrees
Sites, in units of the cell vectors:
Y: 0.000 0.000 0.000
Be: 0.250 0.750 0.500
Be: 0.750 0.250 0.500
Fe: 0.372 0.372 0.000
Fe: 0.628 0.628 0.000

Summary:
Total magnetization: 2.87 μB per cell
Space-group type: I4/mmm (139)
Formation energy from the elements: 0.40 eV per formula unit
Theoretical density: 5.618 g cm⁻³
Volume: 12.924 Å³/atom